HoPd4Au5 | PBE | relaxed

Cell lengths 4.8837, 8.1786, 9.5657 Å; angles 90.00, 90.00, 90.00 degrees
Closest atoms and distances in Å follow each position.
Sites, in units of the cell vectors:
Au  0.7582  0.6675  0.7532  5 Pd 2.72-2.88, 4 Au 2.72-2.86
Pd  0.5523  0.2452  0.5000  5 Au 2.72-2.93, 1 Ho 2.92, 2 Pd 2.97
Au  0.7582  0.3325  0.2468  5 Pd 2.72-2.88, 4 Au 2.72-2.86
Pd  0.2718  0.5000  0.7898  7 Au 2.75-2.88, 1 Ho 2.86, 2 Pd 2.97
Pd  0.7282  0.0000  0.2898  7 Au 2.75-2.88, 1 Ho 2.86, 2 Pd 2.97
Au  0.2418  0.1675  0.7468  5 Pd 2.72-2.88, 4 Au 2.72-2.86
Au  0.2418  0.1675  0.2532  5 Pd 2.72-2.88, 4 Au 2.72-2.86
Pd  0.4477  0.2548  0.0000  5 Au 2.72-2.93, 1 Ho 2.92, 2 Pd 2.97
Ho  0.1322  0.5000  0.5000  4 Pd 2.86-2.92
Ho  0.8678  0.0000  0.0000  4 Pd 2.86-2.92
Au  0.2418  0.8325  0.2532  5 Pd 2.72-2.88, 4 Au 2.72-2.86
Au  0.8861  0.5000  0.0000  4 Pd 2.76-2.93, 4 Au 2.80
Pd  0.7282  0.0000  0.7102  7 Au 2.75-2.88, 1 Ho 2.86, 2 Pd 2.97
Pd  0.4477  0.7452  0.0000  5 Au 2.72-2.93, 1 Ho 2.92, 2 Pd 2.97
Pd  0.2718  0.5000  0.2102  7 Au 2.75-2.88, 1 Ho 2.86, 2 Pd 2.97
Au  0.2418  0.8325  0.7468  5 Pd 2.72-2.88, 4 Au 2.72-2.86
Pd  0.5523  0.7548  0.5000  5 Au 2.72-2.93, 1 Ho 2.92, 2 Pd 2.97
Au  0.7582  0.6675  0.2468  5 Pd 2.72-2.88, 4 Au 2.72-2.86
Au  0.1139  0.0000  0.5000  4 Pd 2.76-2.93, 4 Au 2.80
Au  0.7582  0.3325  0.7532  5 Pd 2.72-2.88, 4 Au 2.72-2.86

Summary:
formation energy: -0.24 eV/atom
total magnetic moment: 0.0 μB/f.u.
SG: Pmmn (59)
polymorph energy (0 for the lowest one): 125 meV per atom
total DFT energy (no corrections): -44.1 eV/f.u.

---

Ho4PdAu | PBE | relaxed

Cell lengths 7.8876, 7.8876, 7.8876 Å; angles 106.30, 106.30, 116.01 degrees
Closest atoms and distances in Å follow each position.
Sites, in units of the cell vectors:
Ho  0.8058  0.0076  0.7983  1 Pd 2.79, 2 Au 2.82-2.88
Ho  0.2093  0.0076  0.2017  1 Pd 2.79, 2 Au 2.82-2.88
Ho  0.2423  0.5377  0.2953  2 Pd 2.79-2.80, 1 Au 2.89
Pd  0.0008  0.5008  0.5000  6 Ho 2.79-2.80
Pd  0.2508  0.2508  0.0000  6 Ho 2.79-2.80
Ho  0.2877  0.4923  0.7953  2 Pd 2.79-2.80, 1 Au 2.89
Au  0.4994  0.9994  0.5000  6 Ho 2.82-2.89
Ho  0.6970  0.4923  0.2047  2 Pd 2.79-2.80, 1 Au 2.89
Au  0.7494  0.7494  0.0000  6 Ho 2.82-2.89
Ho  0.2423  0.9470  0.7047  2 Pd 2.79-2.80, 1 Au 2.89
Ho  0.7576  0.0558  0.2983  1 Pd 2.79, 2 Au 2.82-2.88
Ho  0.7576  0.4593  0.7017  1 Pd 2.79, 2 Au 2.82-2.88

Summary:
formation energy: -0.37 eV/atom
total magnetic moment: 0.0 μB/f.u.
SG: I4_1md (109)
total DFT energy (no corrections): -29.0 eV/f.u.

---

HoPd2Au2 | PBE | relaxed

Cell lengths 5.0481, 5.0481, 5.5483 Å; angles 117.06, 117.06, 90.00 degrees
Closest atoms and distances in Å follow each position.
Sites, in units of the cell vectors:
Pd  0.2500  0.7500  0.5000  4 Au 2.65
Ho  0.0000  0.0000  0.0000  2 Au 2.94
Au  0.3462  0.3462  0.6923  1 Au 2.61, 4 Pd 2.65
Au  0.6538  0.6538  0.3077  1 Au 2.61, 4 Pd 2.65
Pd  0.7500  0.2500  0.5000  4 Au 2.65

Summary:
formation energy: -0.26 eV/atom
total magnetic moment: 0.0 μB/f.u.
SG: I4/mmm (139)
polymorph energy (0 for the lowest one): 326 meV per atom
total DFT energy (no corrections): -22.8 eV/f.u.

---

Ho3Pd5Au | PBE | relaxed

Cell lengths 8.2844, 8.2844, 8.0404 Å; angles 121.01, 121.01, 90.00 degrees
Closest atoms and distances in Å follow each position.
Sites, in units of the cell vectors:
Ho  0.1266  0.3734  0.0000  2 Pd 2.55
Pd  0.8319  0.9378  0.2698  1 Ho 2.55, 1 Au 2.63, 1 Pd 2.82
Pd  0.5622  0.6681  0.7302  1 Ho 2.55, 1 Au 2.63, 1 Pd 2.82
Pd  0.1681  0.0622  0.7302  1 Ho 2.55, 1 Au 2.63, 1 Pd 2.82
Pd  0.5000  0.5000  0.0000  2 Ho 2.75
Au  0.2500  0.7500  0.5000  4 Pd 2.63
Pd  0.6681  0.1681  0.7302  1 Ho 2.55, 1 Au 2.63, 1 Pd 2.82
Pd  0.0622  0.5622  0.7302  1 Ho 2.55, 1 Au 2.63, 1 Pd 2.82
Pd  0.9378  0.4378  0.2698  1 Ho 2.55, 1 Au 2.63, 1 Pd 2.82
Ho  0.6266  0.1266  0.0000  2 Pd 2.55
Pd  0.4378  0.3319  0.2698  1 Ho 2.55, 1 Au 2.63, 1 Pd 2.82
Ho  0.7500  0.7500  0.5000  2 Pd 2.75
Ho  0.8734  0.6266  0.0000  2 Pd 2.55
Pd  0.0000  0.0000  0.0000  2 Ho 2.75
Au  0.7500  0.2500  0.5000  4 Pd 2.63
Pd  0.3319  0.8319  0.2698  1 Ho 2.55, 1 Au 2.63, 1 Pd 2.82
Ho  0.2500  0.2500  0.5000  2 Pd 2.75
Ho  0.3734  0.8734  0.0000  2 Pd 2.55

Summary:
formation energy: -0.54 eV/atom
total magnetic moment: 0.0 μB/f.u.
SG: I4/mcm (140)
polymorph energy (0 for the lowest one): 320 meV per atom
total DFT energy (no corrections): -47.8 eV/f.u.

---

HoPd5Au | PBE | relaxed

Cell lengths 9.4255, 5.0978, 5.9974 Å; angles 115.15, 141.79, 90.00 degrees
Closest atoms and distances in Å follow each position.
Sites, in units of the cell vectors:
Pd  0.8497  0.7557  0.5113  6 Pd 2.63-2.88, 1 Ho 2.76, 2 Au 2.93
Pd  0.1213  0.5000  0.0000  1 Ho 2.57, 6 Pd 2.65-2.88, 2 Au 2.70
Pd  0.3674  0.7512  0.0000  3 Pd 2.54-2.65
Pd  0.3674  0.2488  0.0000  3 Pd 2.54-2.65
Pd  0.3383  0.2443  0.4887  6 Pd 2.63-2.88, 1 Ho 2.76, 2 Au 2.93
Au  0.6384  0.0000  0.0000  8 Pd 2.70-2.93
Ho  0.8481  0.5000  0.0000  3 Pd 2.57-2.76

Summary:
formation energy: -0.32 eV/atom
total magnetic moment: 0.0 μB/f.u.
SG: Imm2 (44)
polymorph energy (0 for the lowest one): 21 meV per atom
total DFT energy (no corrections): -36.1 eV/f.u.

---

HoPd2Au2 | PBE | relaxed

Cell lengths 4.9942, 5.1238, 4.6590 Å; angles 71.63, 57.59, 90.00 degrees
Closest atoms and distances in Å follow each position.
Sites, in units of the cell vectors:
Pd  0.7935  0.3871  0.4129  5 Au 2.86-2.99, 3 Pd 2.94-3.01, 2 Ho 2.95-3.00
Au  0.4038  0.2152  0.1922  1 Au 2.74, 5 Pd 2.86-2.99, 3 Ho 2.94-2.95
Au  0.5961  0.7848  0.8078  1 Au 2.74, 5 Pd 2.86-2.99, 3 Ho 2.94-2.95
Ho  0.0000  0.0000  0.0000  6 Au 2.94-2.95, 4 Pd 2.95-3.00
Pd  0.2064  0.6129  0.5871  5 Au 2.86-2.99, 3 Pd 2.94-3.01, 2 Ho 2.95-3.00

Summary:
formation energy: -0.59 eV/atom
total magnetic moment: 0.0 μB/f.u.
SG: C2/m (12)
polymorph energy (0 for the lowest one): 0 meV per atom
total DFT energy (no corrections): -24.5 eV/f.u.